# Cd12In3Ga5

A geometry-optimized Cd12In3Ga5 structure (PBE, Alexandria via LeMat-Bulk).

Results
Electronic total energy in eV per atom: -1.50
Energy of formation in eV per formula unit: 4.36

a b c (Å): 16.4972 16.4972 16.4972
angles (deg): 90.00 90.00 90.00
Space group Ia-3d (No. 230)
Inequivalent atoms, fractional coordinates:
Cd1 0.0191 0.0742 0.6498 x96
In1 0.0000 0.2500 0.1250 x24
Ga1 0.0000 0.0000 0.0000 x16
Ga2 0.0000 0.2500 0.3750 x24


# PrScAs2O8

A geometry-optimized PrScAs2O8 structure (PBE, Alexandria via LeMat-Bulk).

Results
Electronic total energy in eV per atom: -7.19
Raw formation energy in eV per atom: -2.185

a b c (Å): 5.4786 5.4786 6.9341
angles (deg): 90.00 90.00 120.00
Space group P-3m1 (No. 164)
Inequivalent atoms, fractional coordinates:
Pr1 0.0000 0.0000 0.0000 x1
Sc1 0.0000 0.0000 0.5000 x1
As1 0.3333 0.6667 0.2173 x2
O1 0.1617 0.3234 0.2950 x6
O2 0.3333 0.6667 0.9730 x2


# Rb3ErNp2S6

A geometry-optimized Rb3ErNp2S6 structure (PBE, Alexandria via LeMat-Bulk).

Results
Electronic total energy in eV per atom: -6.36
Raw formation energy in eV per atom: -1.513

a b c (Å): 7.1011 12.2999 8.0381
angles (deg): 90.00 107.13 90.00
Space group C2/m (No. 12)
Inequivalent atoms, fractional coordinates:
Rb1 0.0000 0.0000 0.0000 x2
Rb2 0.0000 0.3335 0.0000 x4
Er1 0.0000 0.5000 0.5000 x2
Np1 0.0000 0.1667 0.5000 x4
S1 0.2288 0.3349 0.6911 x8
S2 0.2334 0.0000 0.6910 x4


# CaSb2TeMo

A geometry-optimized CaSb2TeMo structure (PBE, Alexandria via LeMat-Bulk).

Results
Electronic total energy in eV per atom: -4.79
Offset from the most stable computed form in meV/atom: 0.0
Raw formation energy in eV per atom: 0.056

a b c (Å): 5.1331 5.1331 6.0326
angles (deg): 90.00 90.00 90.00
Space group P4/mmm (No. 123)
Inequivalent atoms, fractional coordinates:
Ca1 0.0000 0.0000 0.0000 x1
Sb1 0.0000 0.5000 0.5000 x2
Te1 0.5000 0.5000 0.0000 x1
Mo1 0.5000 0.5000 0.5000 x1


# ZrIr2Pb

A geometry-optimized ZrIr2Pb structure (PBE, Alexandria via LeMat-Bulk).

Results
Electronic total energy in eV per atom: -7.70
Energy of formation in eV per formula unit: -0.83

a b c (Å): 4.3514 4.3514 3.8838
angles (deg): 90.00 90.00 90.00
Space group P4/mmm (No. 123)
Inequivalent atoms, fractional coordinates:
Zr1 0.0000 0.0000 0.0000 x1
Ir1 0.0000 0.5000 0.5000 x2
Pb1 0.5000 0.5000 0.0000 x1


# Rb2PSBr6

A geometry-optimized Rb2PSBr6 structure (PBE, Alexandria via LeMat-Bulk).

Results
Electronic total energy in eV per atom: -2.82
Raw formation energy in eV per atom: -0.672

a b c (Å): 7.6609 7.6609 10.4998
angles (deg): 90.00 90.00 90.00
Space group I4/mmm (No. 139)
Inequivalent atoms, fractional coordinates:
Rb1 0.0000 0.5000 0.2500 x4
P1 0.0000 0.0000 0.0000 x2
S1 0.0000 0.0000 0.5000 x2
Br1 0.0000 0.0000 0.2449 x4
Br2 0.2345 0.2345 0.0000 x8


# CaMg2Pt

A geometry-optimized CaMg2Pt structure (PBE, Alexandria via LeMat-Bulk).

Results
Electronic total energy in eV per atom: -3.31
Energy of formation in eV per formula unit: -2.02

a b c (Å): 3.3167 5.0709 10.7934
angles (deg): 90.00 90.00 90.00
Space group Immm (No. 71)
Inequivalent atoms, fractional coordinates:
Ca1 0.0000 0.0000 0.0000 x2
Mg1 0.0000 0.5000 0.2001 x4
Pt1 0.0000 0.0000 0.5000 x2


# LiZrTl2Se4

A geometry-optimized LiZrTl2Se4 structure (PBE, Alexandria via LeMat-Bulk).

Results
Electronic total energy in eV per atom: -4.49
Raw formation energy in eV per atom: -0.845

a b c (Å): 7.1749 3.9945 7.5649
angles (deg): 90.00 107.25 90.00
Space group P2/m (No. 10)
Inequivalent atoms, fractional coordinates:
Li1 0.0000 0.0000 0.0000 x1
Zr1 0.5000 0.5000 0.0000 x1
Tl1 0.0000 0.5000 0.5000 x1
Tl2 0.5000 0.0000 0.5000 x1
Se1 0.2578 0.5000 0.2114 x2
Se2 0.2749 0.0000 0.7963 x2


# KSr2LiPd

A geometry-optimized KSr2LiPd structure (PBE, Alexandria via LeMat-Bulk).

Results
Electronic total energy in eV per atom: -2.46
Energy of formation in eV per formula unit: -0.74
Offset from the most stable computed form in meV/atom: 0.0

a b c (Å): 6.0661 6.0661 5.4149
angles (deg): 90.00 90.00 90.00
Space group P4/mmm (No. 123)
Inequivalent atoms, fractional coordinates:
K1 0.0000 0.0000 0.0000 x1
Sr1 0.0000 0.5000 0.5000 x2
Li1 0.5000 0.5000 0.0000 x1
Pd1 0.5000 0.5000 0.5000 x1


# AcHo2Zn

A geometry-optimized AcHo2Zn structure (PBE, Alexandria via LeMat-Bulk).

Results
Electronic total energy in eV per atom: -3.76
Energy of formation in eV per formula unit: -0.49
Offset from the most stable computed form in meV/atom: 0.0

a b c (Å): 3.6443 3.6443 9.0163
angles (deg): 90.00 90.00 90.00
Space group P4/mmm (No. 123)
Inequivalent atoms, fractional coordinates:
Ac1 0.0000 0.0000 0.0000 x1
Ho1 0.5000 0.5000 0.3101 x2
Zn1 0.0000 0.0000 0.5000 x1


# Li2ThIrO6

A geometry-optimized Li2ThIrO6 structure (PBE, Alexandria via LeMat-Bulk).

Results
Electronic total energy in eV per atom: -6.90
Raw formation energy in eV per atom: -1.916

a b c (Å): 5.4240 5.6138 9.5939
angles (deg): 90.00 124.20 90.00
Space group P2_1/c (No. 14)
Inequivalent atoms, fractional coordinates:
Li1 0.2181 0.0153 0.2363 x4
Th1 0.0000 0.0000 0.5000 x2
Ir1 0.5000 0.0000 0.0000 x2
O1 0.1499 0.0858 0.7737 x4
O2 0.2446 0.6501 0.5560 x4
O3 0.4460 0.1988 0.5806 x4


# Dy3Y2Te6

A geometry-optimized Dy3Y2Te6 structure (PBE, Alexandria via LeMat-Bulk).

Results
Electronic total energy in eV per atom: -5.55
Raw formation energy in eV per atom: -1.402

a b c (Å): 7.5266 12.9646 7.4984
angles (deg): 90.00 109.60 90.00
Space group C2/m (No. 12)
Inequivalent atoms, fractional coordinates:
Dy1 0.0000 0.0000 0.0000 x2
Dy2 0.0000 0.3300 0.0000 x4
Y1 0.0000 0.1641 0.5000 x4
Te1 0.2406 0.5000 0.2540 x4
Te2 0.2417 0.3385 0.7433 x8


What did the seventh record say?
# CaMg2Pt

A geometry-optimized CaMg2Pt structure (PBE, Alexandria via LeMat-Bulk).

Results
Electronic total energy in eV per atom: -3.31
Energy of formation in eV per formula unit: -2.02

a b c (Å): 3.3167 5.0709 10.7934
angles (deg): 90.00 90.00 90.00
Space group Immm (No. 71)
Inequivalent atoms, fractional coordinates:
Ca1 0.0000 0.0000 0.0000 x2
Mg1 0.0000 0.5000 0.2001 x4
Pt1 0.0000 0.0000 0.5000 x2